{"formula": "GaSn2N", "functional": "PBE", "state": "optimized geometry", "dos_at_fermi_per_ev_fu": 0.90, "e_form_raw_ev_per_atom": 0.1053, "spacegroup": "No. 8", "relative_energy_mev_per_atom": 146.0, "dft_energy_ev_per_fu": -18.9, "lattice": [[6.3258, -2.9016, 0.0000], [6.3258, 2.9016, 0.0000], [-1.0424, 0.0000, 5.0842]], "species": ["Ga", "Ga", "Sn", "Sn", "Sn", "Sn", "N", "N"], "fractional_positions": [[0.0000, 0.0000, 0.0000], [0.6743, 0.6743, 0.2758], [0.0882, 0.0882, 0.5410], [0.3429, 0.3429, 0.5252], [0.4561, 0.4561, 0.0763], [0.7771, 0.7771, 0.8644], [0.4720, 0.9640, 0.5448], [0.9640, 0.4720, 0.5448]]}

{"formula": "GaSn2N", "functional": "PBE", "state": "optimized geometry", "dos_at_fermi_per_ev_fu": 2.30, "e_form_raw_ev_per_atom": 0.1552, "spacegroup": "No. 160", "relative_energy_mev_per_atom": 195.9, "dft_energy_ev_per_fu": -18.7, "lattice": [[1.6915, 0.9766, 8.7288], [-1.6915, 0.9766, 8.7288], [0.0000, -1.9532, 8.7288]], "species": ["Ga", "Sn", "Sn", "N"], "fractional_positions": [[0.0000, 0.0000, 0.0000], [0.4485, 0.4485, 0.4485], [0.5785, 0.5785, 0.5785], [0.0745, 0.0745, 0.0745]]}

{"formula": "GaSn2N", "functional": "PBE", "state": "optimized geometry", "dos_at_fermi_per_ev_fu": 0.77, "e_form_raw_ev_per_atom": 0.0799, "spacegroup": "No. 1", "relative_energy_mev_per_atom": 120.6, "dft_energy_ev_per_fu": -19.0, "lattice": [[5.8330, 0.0000, 0.0000], [2.9050, 5.2709, 0.0000], [2.8781, 0.0170, 5.4655]], "species": ["Ga", "Ga", "Sn", "Sn", "Sn", "Sn", "N", "N"], "fractional_positions": [[0.0000, 0.0000, 0.0000], [0.0999, 0.5628, 0.2315], [0.3214, 0.8491, 0.5050], [0.4603, 0.0801, 0.9968], [0.6428, 0.2412, 0.4686], [0.8381, 0.5259, 0.7969], [0.2272, 0.5449, 0.4891], [0.7350, 0.5456, 0.4884]]}